[1]
Density functional theory data (GGA-PBE) for a relaxed structure of LiGePd2.

a = 4.277 Å, b = 4.277 Å, c = 8.161 Å
α = 90.00°, β = 90.00°, γ = 120.00°
Sites, in units of the cell vectors:
Ge1 0.000 0.000 0.000
Pd1 0.667 0.333 0.420
Pd2 0.333 0.667 0.920
Li1 0.667 0.333 0.750
Li2 0.333 0.667 0.250
Pd3 0.333 0.667 0.580
Pd4 0.667 0.333 0.080
Ge2 0.000 0.000 0.500

Output
- Final energy: -4.70 eV/atom

[2]
Density functional theory data (GGA-PBE) for a relaxed structure of SmNiAgGe2.

a = 6.018 Å, b = 6.018 Å, c = 6.018 Å
α = 139.21°, β = 139.21°, γ = 59.06°
Sites, in units of the cell vectors:
Ge1 0.868 0.368 0.500
Ag1 0.000 0.000 0.000
Sm1 0.250 0.750 0.500
Ni1 0.500 0.500 0.000
Ge2 0.632 0.132 0.500

Output
- Final energy: -4.95 eV/atom
- Magnetization: 0.00 μB per formula unit

[3]
Density functional theory data (GGA-PBE) for a relaxed structure of NbSnMo.

a = 4.517 Å, b = 4.517 Å, c = 4.517 Å
α = 60.00°, β = 60.00°, γ = 60.00°
Sites, in units of the cell vectors:
Nb1 0.250 0.250 0.250
Mo1 0.000 0.000 0.000
Sn1 0.750 0.750 0.750

Output
- Magnetization: 0.13 μB per formula unit
- Relative energy among the computed polymorphs: 0 meV per atom

[4]
Density functional theory data (GGA-PBE) for a relaxed structure of AlCdFeOs.

a = 4.389 Å, b = 4.389 Å, c = 4.389 Å
α = 60.00°, β = 60.00°, γ = 60.00°
Sites, in units of the cell vectors:
Cd1 0.500 0.500 0.500
Al1 0.000 0.000 0.000
Os1 0.250 0.250 0.250
Fe1 0.750 0.750 0.750

Output
- Magnetization: 2.46 μB per formula unit
- Relative energy among the computed polymorphs: 0 meV per atom